Fe4PbF12: optimized geometry, GGA+U.

Results
total DFT energy (no corrections): -89.5 eV/f.u.

Lattice parameters (Å, degrees): 7.986 8.065 8.090 90.00 90.00 90.00
Space group Immm (No. 71)
Unique sites:
Fe: 0.250 0.250 0.250 x8
Pb: 0.000 0.000 0.000 x2
F: 0.000 0.261 0.250 x8
F: 0.221 0.000 0.245 x8
F: 0.231 0.236 0.000 x8